1.
GGA-PBE KCo3Sn, relaxed; energy above the lowest structure with this stoichiometry = 1006.6 meV per atom; space group = No. 221; crystal system = cubic; volume = 18.8 Å³/atom
1.0
-1.9083 -4.0886 0.5490
0.7952 -0.9581 -4.3714
4.0479 -1.7393 1.1175
K Co Sn
1 3 1
Direct
0.0000 0.0000 0.0000 K
0.0000 0.5000 0.0000 Co
0.0000 0.0000 0.5000 Co
0.5000 0.0000 0.0000 Co
0.5000 0.5000 0.5000 Sn

---

2.
GGA-PBE KCo3Sn, relaxed; energy above the lowest structure with this stoichiometry = 0.0 meV per atom; space group = No. 221; crystal system = cubic; volume = 24.4 Å³/atom
1.0
4.9575 0.0000 0.0000
0.0000 4.9575 0.0000
0.0000 0.0000 4.9575
K Co Sn
1 3 1
Direct
0.5000 0.5000 0.5000 K
0.0000 0.5000 0.0000 Co
0.0000 0.0000 0.5000 Co
0.5000 0.0000 0.0000 Co
0.0000 0.0000 0.0000 Sn

---

3.
GGA-PBE KCo2Sn2, relaxed; energy above the lowest structure with this stoichiometry = 42.8 meV per atom; space group = No. 139; crystal system = tetragonal; volume = 20.8 Å³/atom
1.0
-3.2044 3.0746 1.1549
-3.0543 -3.3829 0.5316
-1.8279 -0.5825 5.5945
K Co Sn
1 2 2
Direct
0.0000 0.0000 0.0000 K
0.3873 0.3873 0.2255 Co
0.6127 0.6127 0.7745 Co
0.7500 0.2500 0.5000 Sn
0.2500 0.7500 0.5000 Sn

---

4.
GGA-PBE KCoSn2, relaxed; space group = No. 141; crystal system = tetragonal; volume = 36.7 Å³/atom; DFT total energy = -15.84 eV per formula unit
1.0
-1.0921 5.3559 -3.5957
-4.2687 -3.3342 -3.6700
-7.7513 2.8282 0.6142
K Co Sn
2 2 4
Direct
0.5000 0.5000 0.0000 K
0.2500 0.7500 0.5000 K
0.0000 0.0000 0.0000 Co
0.7500 0.2500 0.5000 Co
0.8756 0.1250 0.2500 Sn
0.8744 0.6250 0.2500 Sn
0.3750 0.1244 0.7500 Sn
0.8750 0.1256 0.7500 Sn

---

5.
GGA-PBE KCo2Sn2, relaxed; energy above the lowest structure with this stoichiometry = 0.0 meV per atom; space group = No. 127; crystal system = tetragonal; volume = 18.6 Å³/atom
1.0
-6.5814 4.1103 1.8465
1.3909 -1.2559 7.7529
1.5719 2.4644 0.1172
K Co Sn
2 4 4
Direct
0.0000 0.0000 0.0000 K
0.5000 0.5000 0.0000 K
0.3647 0.8647 0.0000 Co
0.8647 0.6353 0.0000 Co
0.6353 0.1353 0.0000 Co
0.1353 0.3647 0.0000 Co
0.1507 0.6507 0.5000 Sn
0.6507 0.8493 0.5000 Sn
0.8493 0.3493 0.5000 Sn
0.3493 0.1507 0.5000 Sn

---

6.
GGA-PBE KCoSn2, relaxed; space group = No. 225; crystal system = cubic; volume = 21.8 Å³/atom; DFT total energy = -14.38 eV per formula unit
1.0
0.0000 3.5187 3.5187
3.5187 0.0000 3.5187
3.5187 3.5187 0.0000
K Co Sn
1 1 2
Direct
0.0000 0.0000 0.0000 K
0.5000 0.5000 0.5000 Co
0.2500 0.2500 0.2500 Sn
0.7500 0.7500 0.7500 Sn

---

7.
GGA-PBE KCoSn2, relaxed; space group = No. 166; crystal system = trigonal; volume = 27.9 Å³/atom; DFT total energy = -16.37 eV per formula unit
1.0
4.2830 0.0000 0.0000
2.1415 3.7092 0.0000
2.1415 1.2364 7.0203
K Co Sn
1 1 2
Direct
0.5000 0.5000 0.5000 K
0.0000 0.0000 0.0000 Co
0.2899 0.2899 0.1302 Sn
0.7101 0.7101 0.8698 Sn

---

8.
GGA-PBE K2CoSn, relaxed; space group = No. 122; crystal system = tetragonal; volume = 47.0 Å³/atom; DFT total energy = -11.82 eV per formula unit
1.0
-8.7062 -3.9061 -7.9671
8.8146 -5.0875 -7.1379
-0.1451 -6.5824 -6.3122
K Co Sn
4 2 2
Direct
0.4315 0.1250 0.2500 K
0.3185 0.6250 0.2500 K
0.3750 0.5685 0.7500 K
0.8750 0.6815 0.7500 K
0.5000 0.5000 0.0000 Co
0.2500 0.7500 0.5000 Co
0.0000 0.0000 0.0000 Sn
0.7500 0.2500 0.5000 Sn

---

9.
GGA-PBE KTlCoSn2, relaxed; space group = No. 123; crystal system = tetragonal; volume = 27.3 Å³/atom; DFT total energy = -18.33 eV per formula unit
1.0
-0.7989 3.0205 3.9853
-4.2154 -2.5778 1.1087
2.8233 -3.2984 3.0658
K Tl Co Sn
1 1 1 2
Direct
0.5000 0.5000 0.5000 K
0.0000 0.0000 0.5000 Tl
0.0000 0.0000 0.0000 Co
0.0000 0.5000 0.0000 Sn
0.5000 0.0000 0.0000 Sn

---

10.
GGA-PBE KTl2CoSn, relaxed; space group = No. 123; crystal system = tetragonal; volume = 27.6 Å³/atom; DFT total energy = -16.66 eV per formula unit
1.0
-0.4654 3.9970 3.3480
-3.4998 2.2521 -3.1751
-3.7196 -2.4260 2.3792
K Tl Co Sn
1 2 1 1
Direct
0.5000 0.5000 0.5000 K
0.0000 0.5000 0.0000 Tl
0.5000 0.0000 0.0000 Tl
0.0000 0.0000 0.0000 Co
0.0000 0.0000 0.5000 Sn

---

11.
GGA-PBE KSrCo3, relaxed; energy above the lowest structure with this stoichiometry = 61.8 meV per atom; space group = No. 221; crystal system = cubic; volume = 24.3 Å³/atom
1.0
4.9538 0.0000 0.0000
0.0000 4.9538 0.0000
0.0000 0.0000 4.9538
Sr K Co
1 1 3
Direct
0.5000 0.5000 0.5000 Sr
0.0000 0.0000 0.0000 K
0.0000 0.5000 0.0000 Co
0.0000 0.0000 0.5000 Co
0.5000 0.0000 0.0000 Co

---

12.
GGA-PBE K4SrCo, relaxed; space group = No. 216; crystal system = cubic; volume = 55.4 Å³/atom; DFT total energy = -8.56 eV per formula unit
1.0
0.0000 5.4976 5.4976
5.4976 0.0000 5.4976
5.4976 5.4976 0.0000
K Sr Co
4 1 1
Direct
0.8782 0.3739 0.3739 K
0.3739 0.3739 0.8782 K
0.3739 0.8782 0.3739 K
0.3739 0.3739 0.3739 K
0.7500 0.7500 0.7500 Sr
0.0000 0.0000 0.0000 Co